The following is a DFT calculation (PBE) of a geometry-optimized RePtRh2Cl structure.

Cell and atoms, written as POSCAR:
```
RePtRh2Cl
1.0
-0.136 0.372 4.323
-4.343 -0.053 -0.132
0.041 -4.325 0.373
Rh Cl Re Pt
2 1 1 1
direct
0.500 0.000 0.000 Rh
0.000 0.000 0.500 Rh
0.000 0.000 0.000 Cl
0.000 0.500 0.000 Re
0.500 0.500 0.500 Pt
```

Computed properties:
* ΔE_f (raw): 1.16 eV per atom

=====

The following is a DFT calculation (PBE) of a geometry-optimized BaZn3Ni structure.

Cell and atoms, written as POSCAR:
```
BaZn3Ni
1.0
-0.437 -4.333 1.993
3.947 0.795 2.593
-2.677 1.879 3.498
Zn Ni Ba
3 1 1
direct
0.500 0.000 0.000 Zn
0.000 0.500 0.000 Zn
0.000 0.000 0.500 Zn
0.000 0.000 0.000 Ni
0.500 0.500 0.500 Ba
```

Computed properties:
* ΔE to the lowest computed polymorph: 0.000 eV/atom

=====

The following is a DFT calculation (PBE) of a geometry-optimized Tb3SmEr4 structure.

Cell and atoms, written as POSCAR:
```
Tb3SmEr4
1.0
-2.966 -0.167 4.035
1.966 -9.763 1.042
7.834 2.201 5.849
Er Tb Sm
8 6 2
direct
0.064 0.878 0.500 Er
0.064 0.123 0.250 Er
0.564 0.123 0.500 Er
0.564 0.877 0.250 Er
0.064 0.123 0.750 Er
0.564 0.122 0.000 Er
0.564 0.877 0.750 Er
0.064 0.877 0.000 Er
0.564 0.373 0.250 Tb
0.565 0.627 0.000 Tb
0.564 0.373 0.750 Tb
0.064 0.627 0.750 Tb
0.064 0.627 0.250 Tb
0.065 0.373 0.500 Tb
0.564 0.627 0.500 Sm
0.064 0.373 0.000 Sm
```

Computed properties:
* ΔE to the lowest computed polymorph: 0.000 eV/atom

=====

The following is a DFT calculation (PBE) of a geometry-optimized K12Rb3I5 structure.

Cell and atoms, written as POSCAR:
```
K12Rb3I5
1.0
-15.373 12.630 0.815
1.506 -9.747 17.298
16.781 10.177 -3.367
K Rb I
48 12 20
direct
0.087 0.179 0.483 K
0.821 0.908 0.304 K
0.592 0.696 0.679 K
0.092 0.913 0.396 K
0.517 0.321 0.913 K
0.696 0.592 0.179 K
0.804 0.321 0.908 K
0.196 0.679 0.092 K
0.517 0.196 0.104 K
0.983 0.396 0.304 K
0.908 0.821 0.804 K
0.104 0.408 0.087 K
0.604 0.587 0.908 K
0.679 0.483 0.587 K
0.321 0.517 0.413 K
0.913 0.092 0.896 K
0.483 0.679 0.087 K
0.679 0.196 0.592 K
0.592 0.896 0.413 K
0.179 0.092 0.696 K
0.587 0.604 0.408 K
0.983 0.587 0.179 K
0.587 0.983 0.679 K
0.017 0.604 0.696 K
0.413 0.017 0.321 K
0.408 0.304 0.321 K
0.092 0.179 0.196 K
0.304 0.896 0.983 K
0.604 0.017 0.196 K
0.304 0.408 0.821 K
0.396 0.413 0.092 K
0.804 0.483 0.396 K
0.896 0.304 0.483 K
0.196 0.517 0.604 K
0.104 0.696 0.517 K
0.696 0.104 0.017 K
0.321 0.804 0.408 K
0.908 0.087 0.604 K
0.896 0.592 0.913 K
0.913 0.821 0.517 K
0.087 0.908 0.104 K
0.483 0.804 0.896 K
0.408 0.104 0.587 K
0.413 0.396 0.592 K
0.396 0.983 0.804 K
0.017 0.413 0.821 K
0.179 0.087 0.983 K
0.821 0.913 0.017 K
0.750 0.875 0.625 Rb
0.125 0.875 0.750 Rb
0.250 0.625 0.875 Rb
0.125 0.250 0.875 Rb
0.625 0.250 0.375 Rb
0.625 0.375 0.750 Rb
0.750 0.375 0.125 Rb
0.250 0.125 0.375 Rb
0.875 0.750 0.125 Rb
0.875 0.125 0.250 Rb
0.375 0.750 0.625 Rb
0.375 0.625 0.250 Rb
0.500 0.500 0.500 I
0.500 0.000 0.000 I
0.375 0.125 0.750 I
0.625 0.875 0.250 I
0.750 0.125 0.875 I
0.500 0.500 0.000 I
0.875 0.250 0.625 I
0.000 0.500 0.500 I
0.000 0.500 0.000 I
0.750 0.625 0.375 I
0.125 0.750 0.375 I
0.250 0.875 0.125 I
0.125 0.375 0.250 I
0.625 0.750 0.875 I
0.000 0.000 0.000 I
0.500 0.000 0.500 I
0.875 0.625 0.750 I
0.375 0.250 0.125 I
0.250 0.375 0.625 I
0.000 0.000 0.500 I
```

Computed properties:
* ΔE_f (raw): -0.58 eV per atom

=====

The following is a DFT calculation (PBE) of a geometry-optimized Gd2TmAg structure.

Cell and atoms, written as POSCAR:
```
Gd2TmAg
1.0
-1.092 -2.447 -2.123
1.978 -2.713 -0.642
-4.529 -7.361 8.063
Tm Gd Ag
1 2 1
direct
0.500 0.500 0.500 Tm
0.086 0.086 0.742 Gd
0.914 0.914 0.258 Gd
0.000 0.000 0.000 Ag
```

Computed properties:
* ΔE to the lowest computed polymorph: 0.361 eV/atom

=====

The following is a DFT calculation (PBE) of a geometry-optimized Tb4GaNi3 structure.

Cell and atoms, written as POSCAR:
```
Tb4GaNi3
1.0
3.742 0.000 0.000
0.000 4.308 0.000
0.000 0.000 10.504
Tb Ni Ga
4 3 1
direct
0.000 0.000 0.145 Tb
0.500 0.500 0.370 Tb
0.000 0.500 0.848 Tb
0.500 0.000 0.635 Tb
0.500 0.000 0.928 Ni
0.000 0.500 0.573 Ni
0.000 0.000 0.432 Ni
0.500 0.500 0.069 Ga
```

Computed properties:
* energy: -5.327 eV/atom

=====

no.,V (Å³ per cell)
1,81.9
2,109.8
3,502.8
4,6078.0
5,117.9
6,169.3